1.
Below is an optimized crystal structure of Cs2H2NCl2, with properties calculated at the PBE level.

Results
**Space group**: C2/m, No. 12
**DFT total energy**: -3.68 eV per atom
**Magnetic moment**: 1.00 μB/cell

a b c (Å): 4.444 6.826 9.132
angles (deg): 48.02 90.00 70.97
Sites, in units of the cell vectors:
Cs (0.500, 0.000, 0.724)
Cs (0.500, 0.000, 0.276)
H (0.887, 0.222, 0.889)
H (0.113, 0.778, 0.111)
N (0.000, 0.000, 0.000)
Cl (0.777, 0.444, 0.278)
Cl (0.223, 0.556, 0.722)



2.
Below is an optimized crystal structure of CsH6N2Cl2, with properties calculated at the PBE level.

Results
**Space group**: C2/m, No. 12
**DFT total energy**: -4.38 eV per atom
**Magnetic moment**: 1.00 μB/cell

a b c (Å): 5.437 8.104 7.948
angles (deg): 139.48 90.00 70.40
Sites, in units of the cell vectors:
Cs (0.500, 0.000, 0.500)
H (0.314, 0.693, 0.821)
H (0.006, 0.307, 0.179)
H (0.150, 0.699, 0.638)
H (0.994, 0.693, 0.821)
H (0.850, 0.301, 0.362)
H (0.686, 0.307, 0.179)
N (0.126, 0.748, 0.802)
N (0.874, 0.252, 0.198)
Cl (0.762, 0.477, 0.766)
Cl (0.238, 0.523, 0.234)



3.
Below is an optimized crystal structure of Cs5Te3H4NCl18, with properties calculated at the PBE level.

Results
**Space group**: P3m1, No. 156
**DFT total energy**: -3.35 eV per atom
**Magnetic moment**: 0.00 μB/cell

a b c (Å): 7.610 7.610 18.596
angles (deg): 90.00 90.00 120.00
Sites, in units of the cell vectors:
Cs (0.333, 0.667, 0.919)
Cs (0.000, 0.000, 0.581)
Cs (0.667, 0.333, 0.248)
Cs (0.667, 0.333, 0.751)
Cs (0.333, 0.667, 0.414)
Te (0.667, 0.333, 0.003)
Te (0.333, 0.667, 0.666)
Te (0.000, 0.000, 0.328)
H (0.074, 0.147, 0.106)
H (0.853, 0.926, 0.106)
H (0.000, 0.000, 0.032)
H (0.074, 0.926, 0.106)
N (0.000, 0.000, 0.088)
Cl (0.827, 0.173, 0.924)
Cl (0.174, 0.349, 0.746)
Cl (0.651, 0.826, 0.746)
Cl (0.347, 0.173, 0.924)
Cl (0.841, 0.682, 0.408)
Cl (0.492, 0.508, 0.586)
Cl (0.174, 0.826, 0.746)
Cl (0.827, 0.653, 0.924)
Cl (0.318, 0.159, 0.408)
Cl (0.015, 0.508, 0.586)
Cl (0.507, 0.014, 0.082)
Cl (0.159, 0.841, 0.248)
Cl (0.841, 0.159, 0.408)
Cl (0.492, 0.985, 0.586)
Cl (0.986, 0.493, 0.082)
Cl (0.683, 0.841, 0.248)
Cl (0.507, 0.493, 0.082)
Cl (0.159, 0.317, 0.248)



- Which formula does entry 3 have?
  Cs5Te3H4NCl18



- Which of these has the lowest DFT total energy?
  CsH6N2Cl2



- What is the magnetic moment in the second record?
  1.00 μB/cell